No. 1
Material: Cs3ReN
Method: DFT, PBE
State: relaxed

Geometry as CIF:
```
data_Cs3ReN
_chemical_formula_sum 'Cs3 Re1 N1'
_cell_length_a 6.003
_cell_length_b 6.003
_cell_length_c 6.003
_cell_angle_alpha 90.00
_cell_angle_beta 90.00
_cell_angle_gamma 90.00
_space_group_name_H-M_alt 'P m -3 m'
_space_group_IT_number 221
_space_group_name_Hall '-P 4 2 3'
loop_
_atom_site_label
_atom_site_type_symbol
_atom_site_fract_x
_atom_site_fract_y
_atom_site_fract_z
_atom_site_occupancy
Cs1 Cs 0.000 0.000 0.500 1
Re1 Re 0.500 0.500 0.500 1
N1 N 0.000 0.000 0.000 1
```


No. 2
Material: CsReN2
Method: DFT, PBE
State: relaxed

Geometry as CIF:
```
data_CsReN2
_chemical_formula_sum 'Cs4 Re4 N8'
_cell_length_a 6.061
_cell_length_b 4.453
_cell_length_c 9.794
_cell_angle_alpha 90.00
_cell_angle_beta 90.00
_cell_angle_gamma 90.00
_space_group_name_H-M_alt 'P n m a'
_space_group_IT_number 62
loop_
_space_group_symop_operation_xyz
'x,y,z'
'-x,-y,-z'
'-x+1/2,-y,z+1/2'
'x+1/2,y,-z+1/2'
'x+1/2,-y+1/2,-z+1/2'
'-x+1/2,y+1/2,z+1/2'
'-x,y+1/2,-z'
'x,-y+1/2,z'
loop_
_atom_site_label
_atom_site_type_symbol
_atom_site_fract_x
_atom_site_fract_y
_atom_site_fract_z
_atom_site_occupancy
Cs1 Cs 0.001 0.250 0.123 1
Re1 Re 0.001 0.750 0.372 1
N1 N 0.001 0.250 0.428 1
N2 N 0.249 0.250 0.750 1
```


No. 3
Material: CsReN2
Method: DFT, PBE
State: relaxed

Geometry as CIF:
```
data_CsReN2
_chemical_formula_sum 'Cs4 Re4 N8'
_cell_length_a 6.003
_cell_length_b 6.003
_cell_length_c 6.003
_cell_angle_alpha 90.00
_cell_angle_beta 90.00
_cell_angle_gamma 90.00
_space_group_name_H-M_alt 'F m -3 m'
_space_group_IT_number 225
_space_group_name_Hall '-F 4 2 3'
loop_
_atom_site_label
_atom_site_type_symbol
_atom_site_fract_x
_atom_site_fract_y
_atom_site_fract_z
_atom_site_occupancy
Cs1 Cs 0.000 0.000 0.000 1
Re1 Re 0.000 0.000 0.500 1
N1 N 0.250 0.250 0.250 1
```


No. 4
Material: Cs2ReN2
Method: DFT, PBE
State: relaxed

Geometry as CIF:
```
data_Cs2ReN2
_chemical_formula_sum 'Cs8 Re4 N8'
_cell_length_a 3.653
_cell_length_b 19.856
_cell_length_c 9.194
_cell_angle_alpha 90.00
_cell_angle_beta 90.00
_cell_angle_gamma 90.00
_space_group_name_H-M_alt 'C m c 21'
_space_group_IT_number 36
loop_
_space_group_symop_operation_xyz
'x,y,z'
'-x,-y,z+1/2'
'-x,y,z'
'x,-y,z+1/2'
'x+1/2,y+1/2,z'
'-x+1/2,-y+1/2,z+1/2'
'-x+1/2,y+1/2,z'
'x+1/2,-y+1/2,z+1/2'
loop_
_atom_site_label
_atom_site_type_symbol
_atom_site_fract_x
_atom_site_fract_y
_atom_site_fract_z
_atom_site_occupancy
Cs1 Cs 0.000 0.020 0.000 1
Cs2 Cs 0.000 0.215 0.405 1
Re1 Re 0.000 0.372 0.191 1
N1 N 0.000 0.142 0.759 1
N2 N 0.000 0.401 0.012 1
```


Number 1: uncorrected formation energy 1680.8 meV/atom. Number 2: uncorrected formation energy 164.4 meV/atom. Number 3: uncorrected formation energy 2536.5 meV/atom. Number 4: uncorrected formation energy -21.9 meV/atom.